--- A ---
DFT (meta-GGA SCAN) results for a PBEsol-optimized structure of SbPdIO2.

Its density of states at the Fermi level is 2.414 states/eV per cell. The density is 7.3 g cm⁻³. Its space group is P4/mmm (123). The volume comes out at 89 Å³/cell.

```
5
Lattice="4.1969 0.0000 0.0000 0.0000 4.1969 0.0000 0.0000 0.0000 5.0282" Properties=species:S:1:pos:R:3 pbc="T T T"
Sb 0.0000 0.0000 0.0000
Pd 2.0984 2.0984 2.5141
I 2.0984 2.0984 0.0000
O 0.0000 2.0984 2.5141
O 2.0984 0.0000 2.5141
```

---

--- B ---
DFT (meta-GGA SCAN) results for a PBEsol-optimized structure of SbPdIO2.

Its density of states at the Fermi level is 1.055 states/eV per cell. The density is 6.6 g cm⁻³. Its space group is P4/mmm (123). The volume comes out at 98 Å³/cell.

```
5
Lattice="3.9056 0.0000 0.0000 0.0000 3.9056 0.0000 0.0000 0.0000 6.3975" Properties=species:S:1:pos:R:3 pbc="T T T"
Sb 0.0000 0.0000 0.0000
Pd 1.9528 1.9528 3.1988
I 0.0000 0.0000 3.1988
O 0.0000 1.9528 0.0000
O 1.9528 0.0000 0.0000
```

---

What should be chosen as the most stable of them? Choose B.

---

--- A ---
DFT (meta-GGA SCAN) results for a PBEsol-optimized structure of RhI2O2.

Its density of states at the Fermi level is 3.928 states/eV per cell. The density is 6.0 g cm⁻³. Its space group is P4/mmm (123). The volume comes out at 107 Å³/cell.

```
5
Lattice="5.4334 0.0000 0.0000 0.0000 5.4334 0.0000 0.0000 0.0000 3.6285" Properties=species:S:1:pos:R:3 pbc="T T T"
Rh 0.0000 0.0000 0.0000
I 0.0000 2.7167 0.0000
I 2.7167 0.0000 0.0000
O 0.0000 0.0000 1.8142
O 2.7167 2.7167 1.8142
```

---

--- B ---
DFT (meta-GGA SCAN) results for a PBEsol-optimized structure of RhI2O2.

Its density of states at the Fermi level is 2.770 states/eV per cell. The density is 8.0 g cm⁻³. Its space group is P4/mmm (123). The volume comes out at 81 Å³/cell.

```
5
Lattice="4.7579 0.0000 0.0000 0.0000 4.7579 0.0000 0.0000 0.0000 3.5714" Properties=species:S:1:pos:R:3 pbc="T T T"
Rh 0.0000 0.0000 0.0000
I 0.0000 2.3790 1.7857
I 2.3790 0.0000 1.7857
O 2.3790 2.3790 0.0000
O 2.3790 2.3790 1.7857
```

---

What should be chosen as the most stable of them? Choose A.

---

--- A ---
DFT (meta-GGA SCAN) results for a PBEsol-optimized structure of TlSbI2O.

Its density of states at the Fermi level is 10.396 states/eV per cell. The density is 4.8 g cm⁻³. Its space group is P4/mmm (123). The volume comes out at 205 Å³/cell.

```
5
Lattice="5.9802 0.0000 0.0000 0.0000 5.9802 0.0000 0.0000 0.0000 5.7256" Properties=species:S:1:pos:R:3 pbc="T T T"
Tl 0.0000 0.0000 0.0000
Sb 0.0000 0.0000 2.8628
I 0.0000 2.9901 0.0000
I 2.9901 0.0000 0.0000
O 2.9901 2.9901 2.8628
```

---

--- B ---
DFT (meta-GGA SCAN) results for a PBEsol-optimized structure of TlSbI2O.

Its density of states at the Fermi level is 2.550 states/eV per cell. The density is 6.4 g cm⁻³. Its space group is P4/mmm (123). The volume comes out at 155 Å³/cell.

```
5
Lattice="6.2267 0.0000 0.0000 0.0000 6.2267 0.0000 0.0000 0.0000 3.9932" Properties=species:S:1:pos:R:3 pbc="T T T"
Tl 0.0000 0.0000 0.0000
Sb 3.1134 3.1134 0.0000
I 0.0000 3.1134 1.9966
I 3.1134 0.0000 1.9966
O 3.1134 3.1134 1.9966
```

---

What should be chosen as the most stable of them? Choose B.

---

--- A ---
DFT (meta-GGA SCAN) results for a PBEsol-optimized structure of SrI2O6.

Its density of states at the Fermi level is 0.000 states/eV per cell. The density is 4.7 g cm⁻³. Its space group is P2_12_12_1 (19). The volume comes out at 612 Å³/cell.

```
36
Lattice="5.9051 0.0000 0.0000 0.0000 5.9414 0.0000 0.0000 0.0000 17.4542" Properties=species:S:1:pos:R:3 pbc="T T T"
Sr 1.1947 1.2103 1.6822
Sr 1.7578 4.7311 10.4093
Sr 4.1473 1.7604 15.7720
Sr 4.7103 4.1810 7.0449
I 0.3551 4.9735 16.1526
I 1.4251 1.5309 13.6352
I 1.5274 4.4105 4.9081
I 2.5974 0.9679 7.4255
I 3.3076 3.9386 1.3016
I 4.3777 1.4398 3.8191
I 4.4799 4.5016 12.5462
I 5.5500 2.0028 10.0287
O 0.1076 3.2621 4.9959
O 0.1398 2.6337 14.3282
O 0.1769 3.3840 8.9549
O 0.7527 2.5666 11.4113
O 0.7789 0.7755 9.2401
O 1.0541 5.2749 6.4904
O 1.8984 0.6664 15.2176
O 2.1736 5.1658 0.5130
O 2.1998 3.3748 2.6842
O 2.7756 2.5573 0.2278
O 2.8127 3.3077 5.6011
O 2.8450 2.6793 13.7230
O 3.0601 5.6500 12.4584
O 3.0924 0.3370 3.1260
O 3.1294 5.5280 8.4994
O 3.7053 0.4041 6.0429
O 3.7314 2.1951 8.2141
O 4.0066 3.6371 10.9638
O 4.8509 2.3042 2.2367
O 5.1262 3.7462 16.9412
O 5.1523 5.5373 14.7700
O 5.7282 0.4134 17.2265
O 5.7652 5.6043 11.8531
O 5.7975 0.2914 3.7312
```

---

--- B ---
DFT (meta-GGA SCAN) results for a PBEsol-optimized structure of SrI2O6.

Its density of states at the Fermi level is 0.000 states/eV per cell. The density is 5.0 g cm⁻³. Its space group is C2/c (15). The volume comes out at 293 Å³/cell.

```
18
Lattice="5.9369 -3.9715 0.0000 5.9369 3.9715 0.0000 -4.6453 0.0000 6.2064" Properties=species:S:1:pos:R:3 pbc="T T T"
Sr 2.4530 2.8161 4.6548
Sr 4.7756 -2.8161 1.5516
I 2.4153 0.2297 1.8382
I 0.0927 -0.2297 4.9414
I 7.1359 0.2297 1.2650
I 4.8133 -0.2297 4.3682
O -1.3507 0.4191 4.0275
O 0.9719 -0.4191 0.9243
O 1.3822 0.8625 3.2478
O 0.6432 1.2896 5.8062
O 4.2627 1.2896 3.5034
O 3.7049 -0.8625 0.1446
O 3.5237 0.8625 6.0618
O 2.9659 -1.2896 2.7030
O 6.5854 -1.2896 0.4002
O 5.8464 -0.8625 2.9586
O 6.2567 0.4191 5.2821
O 8.5793 -0.4191 2.1789
```

---

What should be chosen as the most stable of them? Choose B.

---

--- A ---
DFT (meta-GGA SCAN) results for a PBEsol-optimized structure of TaSbOsI2.

Its density of states at the Fermi level is 5.686 states/eV per cell. The density is 7.7 g cm⁻³. Its space group is P4/mmm (123). The volume comes out at 161 Å³/cell.

```
5
Lattice="5.7288 0.0000 0.0000 0.0000 5.7288 0.0000 0.0000 0.0000 4.9204" Properties=species:S:1:pos:R:3 pbc="T T T"
Ta 0.0000 0.0000 0.0000
Sb 2.8644 2.8644 2.4602
Os 2.8644 2.8644 0.0000
I 0.0000 2.8644 2.4602
I 2.8644 0.0000 2.4602
```

---

--- B ---
DFT (meta-GGA SCAN) results for a PBEsol-optimized structure of TaSbOsI2.

Its density of states at the Fermi level is 4.333 states/eV per cell. The density is 9.0 g cm⁻³. Its space group is P4/mmm (123). The volume comes out at 137 Å³/cell.

```
5
Lattice="5.2364 0.0000 0.0000 0.0000 5.2364 0.0000 0.0000 0.0000 5.0129" Properties=species:S:1:pos:R:3 pbc="T T T"
Ta 0.0000 0.0000 0.0000
Sb 2.6182 2.6182 0.0000
Os 2.6182 2.6182 2.5065
I 0.0000 2.6182 2.5065
I 2.6182 0.0000 2.5065
```

---

What should be chosen as the most stable of them? Choose B.

---

--- A ---
DFT (meta-GGA SCAN) results for a PBEsol-optimized structure of PPtS2I.

Its density of states at the Fermi level is 5.536 states/eV per cell. The density is 5.8 g cm⁻³. Its space group is P4/mmm (123). The volume comes out at 120 Å³/cell.

```
5
Lattice="4.8349 0.0000 0.0000 0.0000 4.8349 0.0000 0.0000 0.0000 5.1425" Properties=species:S:1:pos:R:3 pbc="T T T"
P 0.0000 0.0000 0.0000
Pt 2.4174 2.4174 0.0000
S 0.0000 2.4174 2.5712
S 2.4174 0.0000 2.5712
I 0.0000 0.0000 2.5712
```

---

--- B ---
DFT (meta-GGA SCAN) results for a PBEsol-optimized structure of PPtS2I.

Its density of states at the Fermi level is 4.112 states/eV per cell. The density is 6.7 g cm⁻³. Its space group is P4/mmm (123). The volume comes out at 103 Å³/cell.

```
5
Lattice="4.7738 0.0000 0.0000 0.0000 4.7738 0.0000 0.0000 0.0000 4.5409" Properties=species:S:1:pos:R:3 pbc="T T T"
P 0.0000 0.0000 0.0000
Pt 0.0000 0.0000 2.2704
S 0.0000 2.3869 2.2704
S 2.3869 0.0000 2.2704
I 2.3869 2.3869 0.0000
```

---

What should be chosen as the most stable of them? Choose B.